No. 1
# P3Ir PBE optimized geometry
# Energy relative to the elements   186 kJ/mol of formula units
# M_tot   0.000 μB/cell
# ΔE to the lowest computed polymorph   1126 meV per atom
# E_tot   -5.79 eV per atom
# Calculated density   8428 kg/m3
data_P3Ir
_symmetry_space_group_name_H-M 'I 4/m m m'
_symmetry_Int_Tables_number 139
_symmetry_space_group_name_Hall '-I 4 2'
_cell_length_a 4.1104
_cell_length_b 4.1104
_cell_length_c 6.6503
_cell_angle_alpha 90.00
_cell_angle_beta 90.00
_cell_angle_gamma 90.00
loop_
_atom_site_label
_atom_site_type_symbol
_atom_site_fract_x
_atom_site_fract_y
_atom_site_fract_z
P1 P 0.0000 0.0000 0.0000
P2 P 0.0000 0.5000 0.2500
Ir1 Ir 0.0000 0.0000 0.5000


No. 2
# PIr PBE optimized geometry
# Energy relative to the elements   -42 kJ/mol of formula units
# M_tot   0.000 μB/cell
# E_tot   -7.35 eV per atom
# Calculated density   8592 kg/m3
data_PIr
_symmetry_space_group_name_H-M 'R -3 m'
_symmetry_Int_Tables_number 166
_symmetry_space_group_name_Hall '-R 3 2"'
_cell_length_a 3.7938
_cell_length_b 3.7938
_cell_length_c 20.7631
_cell_angle_alpha 90.00
_cell_angle_beta 90.00
_cell_angle_gamma 120.00
loop_
_atom_site_label
_atom_site_type_symbol
_atom_site_fract_x
_atom_site_fract_y
_atom_site_fract_z
P1 P 0.0000 0.0000 0.2407
Ir1 Ir 0.0000 0.0000 0.1233


No. 3
# PIr7 PBE optimized geometry
# Energy relative to the elements   47 kJ/mol of formula units
# M_tot   0.000 μB/cell
# E_tot   -8.37 eV per atom
# Calculated density   19871 kg/m3
data_PIr7
_symmetry_space_group_name_H-M 'F m -3 m'
_symmetry_Int_Tables_number 225
_symmetry_space_group_name_Hall '-F 4 2 3'
_cell_length_a 7.7201
_cell_length_b 7.7201
_cell_length_c 7.7201
_cell_angle_alpha 90.00
_cell_angle_beta 90.00
_cell_angle_gamma 90.00
loop_
_atom_site_label
_atom_site_type_symbol
_atom_site_fract_x
_atom_site_fract_y
_atom_site_fract_z
P1 P 0.0000 0.0000 0.0000
Ir1 Ir 0.0000 0.0000 0.5000
Ir2 Ir 0.0000 0.2500 0.2500


No. 4
# P3Ir PBE optimized geometry
# Energy relative to the elements   -39 kJ/mol of formula units
# M_tot   0.000 μB/cell
# ΔE to the lowest computed polymorph   544 meV per atom
# E_tot   -6.37 eV per atom
# Calculated density   7064 kg/m3
data_P3Ir
_symmetry_space_group_name_H-M 'P m m 2'
_symmetry_Int_Tables_number 25
_cell_length_a 3.3716
_cell_length_b 4.4651
_cell_length_c 4.4523
_cell_angle_alpha 90.00
_cell_angle_beta 90.00
_cell_angle_gamma 90.00
loop_
_symmetry_equiv_pos_as_xyz
'x,y,z'
'-x,-y,z'
'-x,y,z'
'x,-y,z'
loop_
_atom_site_label
_atom_site_type_symbol
_atom_site_fract_x
_atom_site_fract_y
_atom_site_fract_z
P1 P 0.0000 0.0000 0.0000
P2 P 0.0000 0.5000 0.1910
P3 P 0.5000 0.5000 0.5214
Ir1 Ir 0.5000 0.0000 0.6561


No. 5
# P3Ir PBE optimized geometry
# Energy relative to the elements   -44 kJ/mol of formula units
# M_tot   0.000 μB/cell
# ΔE to the lowest computed polymorph   530 meV per atom
# E_tot   -6.39 eV per atom
# Calculated density   6602 kg/m3
data_P3Ir
_symmetry_space_group_name_H-M 'P -4 m 2'
_symmetry_Int_Tables_number 115
_cell_length_a 3.5094
_cell_length_b 3.5094
_cell_length_c 5.8233
_cell_angle_alpha 90.00
_cell_angle_beta 90.00
_cell_angle_gamma 90.00
loop_
_symmetry_equiv_pos_as_xyz
'x,y,z'
'y,-x,-z'
'-x,-y,z'
'-y,x,-z'
'-x,y,z'
'-y,-x,-z'
'x,-y,z'
'y,x,-z'
loop_
_atom_site_label
_atom_site_type_symbol
_atom_site_fract_x
_atom_site_fract_y
_atom_site_fract_z
P1 P 0.0000 0.0000 0.0000
P2 P 0.0000 0.5000 0.2564
Ir1 Ir 0.5000 0.5000 0.5000


No. 6
# PIr PBE optimized geometry
# Energy relative to the elements   -64 kJ/mol of formula units
# M_tot   0.000 μB/cell
# E_tot   -7.47 eV per atom
# Calculated density   10075 kg/m3
data_PIr
_symmetry_space_group_name_H-M 'P 42/m n m'
_symmetry_Int_Tables_number 136
_symmetry_space_group_name_Hall '-P 4n 2n'
_cell_length_a 7.1140
_cell_length_b 7.1140
_cell_length_c 2.9073
_cell_angle_alpha 90.00
_cell_angle_beta 90.00
_cell_angle_gamma 90.00
loop_
_atom_site_label
_atom_site_type_symbol
_atom_site_fract_x
_atom_site_fract_y
_atom_site_fract_z
P1 P 0.1840 0.1840 0.0000
Ir1 Ir 0.1407 0.8593 0.0000


No. 7
# P3Ir PBE optimized geometry
# Energy relative to the elements   141 kJ/mol of formula units
# M_tot   0.000 μB/cell
# ΔE to the lowest computed polymorph   1010 meV per atom
# E_tot   -5.91 eV per atom
# Calculated density   8318 kg/m3
data_P3Ir
_symmetry_space_group_name_H-M 'I 4/m m m'
_symmetry_Int_Tables_number 139
_symmetry_space_group_name_Hall '-I 4 2'
_cell_length_a 4.2601
_cell_length_b 4.2601
_cell_length_c 12.5456
_cell_angle_alpha 90.00
_cell_angle_beta 90.00
_cell_angle_gamma 90.00
loop_
_atom_site_label
_atom_site_type_symbol
_atom_site_fract_x
_atom_site_fract_y
_atom_site_fract_z
P1 P 0.0000 0.0000 0.0892
P2 P 0.0000 0.5000 0.0000
P3 P 0.0000 0.5000 0.2500
Ir1 Ir 0.0000 0.0000 0.3618


No. 8
# P3Ir PBE optimized geometry
# Energy relative to the elements   32 kJ/mol of formula units
# M_tot   0.000 μB/cell
# ΔE to the lowest computed polymorph   726 meV per atom
# E_tot   -6.19 eV per atom
# Calculated density   6289 kg/m3
data_P3Ir
_symmetry_space_group_name_H-M 'I m m 2'
_symmetry_Int_Tables_number 44
_cell_length_a 2.7411
_cell_length_b 11.1454
_cell_length_c 4.9290
_cell_angle_alpha 90.00
_cell_angle_beta 90.00
_cell_angle_gamma 90.00
loop_
_symmetry_equiv_pos_as_xyz
'x,y,z'
'-x,-y,z'
'-x,y,z'
'x,-y,z'
'x+1/2,y+1/2,z+1/2'
'-x+1/2,-y+1/2,z+1/2'
'-x+1/2,y+1/2,z+1/2'
'x+1/2,-y+1/2,z+1/2'
loop_
_atom_site_label
_atom_site_type_symbol
_atom_site_fract_x
_atom_site_fract_y
_atom_site_fract_z
P1 P 0.0000 0.0000 0.0000
P2 P 0.0000 0.1377 0.3277
Ir1 Ir 0.0000 0.5000 0.1132


No. 9
# P2Ir PBE optimized geometry
# Energy relative to the elements   -8 kJ/mol of formula units
# M_tot   0.000 μB/cell
# E_tot   -6.59 eV per atom
# Calculated density   8619 kg/m3
data_P2Ir
_symmetry_space_group_name_H-M 'C 1 m 1'
_symmetry_Int_Tables_number 8
_cell_length_a 3.4509
_cell_length_b 10.5399
_cell_length_c 2.9657
_cell_angle_alpha 90.00
_cell_angle_beta 114.78
_cell_angle_gamma 90.00
loop_
_symmetry_equiv_pos_as_xyz
'x,y,z'
'x,-y,z'
'x+1/2,y+1/2,z'
'x+1/2,-y+1/2,z'
loop_
_atom_site_label
_atom_site_type_symbol
_atom_site_fract_x
_atom_site_fract_y
_atom_site_fract_z
P1 P 0.0000 0.1404 0.0000
Ir1 Ir 0.3816 0.0000 0.6854


No. 10
# P3Ir PBE optimized geometry
# Energy relative to the elements   -15 kJ/mol of formula units
# M_tot   0.000 μB/cell
# ΔE to the lowest computed polymorph   605 meV per atom
# E_tot   -6.31 eV per atom
# Calculated density   8144 kg/m3
data_P3Ir
_symmetry_space_group_name_H-M 'I m -3 m'
_symmetry_Int_Tables_number 229
_symmetry_space_group_name_Hall '-I 4 2 3'
_cell_length_a 4.8808
_cell_length_b 4.8808
_cell_length_c 4.8808
_cell_angle_alpha 90.00
_cell_angle_beta 90.00
_cell_angle_gamma 90.00
loop_
_atom_site_label
_atom_site_type_symbol
_atom_site_fract_x
_atom_site_fract_y
_atom_site_fract_z
P1 P 0.0000 0.0000 0.5000
Ir1 Ir 0.0000 0.0000 0.0000


No. 11
# P2Ir PBE optimized geometry
# Energy relative to the elements   -40 kJ/mol of formula units
# M_tot   0.000 μB/cell
# E_tot   -6.70 eV per atom
# Calculated density   8152 kg/m3
data_P2Ir
_symmetry_space_group_name_H-M 'P -6 m 2'
_symmetry_Int_Tables_number 187
_symmetry_space_group_name_Hall 'P -6 2'
_cell_length_a 3.5780
_cell_length_b 3.5780
_cell_length_c 4.6696
_cell_angle_alpha 90.00
_cell_angle_beta 90.00
_cell_angle_gamma 120.00
loop_
_atom_site_label
_atom_site_type_symbol
_atom_site_fract_x
_atom_site_fract_y
_atom_site_fract_z
P1 P 0.0000 0.0000 0.2372
Ir1 Ir 0.6667 0.3333 0.5000


No. 12
# PIr PBE optimized geometry
# Energy relative to the elements   -63 kJ/mol of formula units
# M_tot   0.000 μB/cell
# E_tot   -7.46 eV per atom
# Calculated density   8520 kg/m3
data_PIr
_symmetry_space_group_name_H-M 'F d d d'
_symmetry_Int_Tables_number 70
_cell_length_a 6.7874
_cell_length_b 8.8541
_cell_length_c 11.5807
_cell_angle_alpha 90.00
_cell_angle_beta 90.00
_cell_angle_gamma 90.00
loop_
_symmetry_equiv_pos_as_xyz
'x,y,z'
'-x,-y,-z'
'-x+1/4,-y+1/4,z'
'x+1/4,y+1/4,-z'
'x,-y+1/4,-z+1/4'
'-x,y+1/4,z+1/4'
'-x+1/4,y,-z+1/4'
'x+1/4,-y,z+1/4'
'x,y+1/2,z+1/2'
'-x,-y+1/2,-z+1/2'
'-x+1/4,-y+3/4,z+1/2'
'x+1/4,y+3/4,-z+1/2'
'x,-y+3/4,-z+3/4'
'-x,y+3/4,z+3/4'
'-x+1/4,y+1/2,-z+3/4'
'x+1/4,-y+1/2,z+3/4'
'x+1/2,y,z+1/2'
'-x+1/2,-y,-z+1/2'
'-x+3/4,-y+1/4,z+1/2'
'x+3/4,y+1/4,-z+1/2'
'x+1/2,-y+1/4,-z+3/4'
'-x+1/2,y+1/4,z+3/4'
'-x+3/4,y,-z+3/4'
'x+3/4,-y,z+3/4'
'x+1/2,y+1/2,z'
'-x+1/2,-y+1/2,-z'
'-x+3/4,-y+3/4,z'
'x+3/4,y+3/4,-z'
'x+1/2,-y+3/4,-z+1/4'
'-x+1/2,y+3/4,z+1/4'
'-x+3/4,y+1/2,-z+1/4'
'x+3/4,-y+1/2,z+1/4'
loop_
_atom_site_label
_atom_site_type_symbol
_atom_site_fract_x
_atom_site_fract_y
_atom_site_fract_z
P1 P 0.1250 0.3328 0.1250
Ir1 Ir 0.1250 0.1250 0.0011


No. 13
# PIr PBE optimized geometry
# Energy relative to the elements   -64 kJ/mol of formula units
# M_tot   0.000 μB/cell
# E_tot   -7.46 eV per atom
# Calculated density   10313 kg/m3
data_PIr
_symmetry_space_group_name_H-M 'P 63 m c'
_symmetry_Int_Tables_number 186
_symmetry_space_group_name_Hall 'P 6c -2c'
_cell_length_a 3.5183
_cell_length_b 3.5183
_cell_length_c 6.7051
_cell_angle_alpha 90.00
_cell_angle_beta 90.00
_cell_angle_gamma 120.00
loop_
_atom_site_label
_atom_site_type_symbol
_atom_site_fract_x
_atom_site_fract_y
_atom_site_fract_z
P1 P 0.3333 0.6667 0.0000
Ir1 Ir 0.3333 0.6667 0.3501


No. 14
# P2Ir PBE optimized geometry
# Energy relative to the elements   -80 kJ/mol of formula units
# M_tot   0.000 μB/cell
# E_tot   -6.84 eV per atom
# Calculated density   8985 kg/m3
data_P2Ir
_symmetry_space_group_name_H-M 'F m -3 m'
_symmetry_Int_Tables_number 225
_symmetry_space_group_name_Hall '-F 4 2 3'
_cell_length_a 5.7275
_cell_length_b 5.7275
_cell_length_c 5.7275
_cell_angle_alpha 90.00
_cell_angle_beta 90.00
_cell_angle_gamma 90.00
loop_
_atom_site_label
_atom_site_type_symbol
_atom_site_fract_x
_atom_site_fract_y
_atom_site_fract_z
P1 P 0.2500 0.2500 0.2500
Ir1 Ir 0.0000 0.0000 0.0000


No. 15
# P2Ir PBE optimized geometry
# Energy relative to the elements   -105 kJ/mol of formula units
# M_tot   0.000 μB/cell
# E_tot   -6.92 eV per atom
# Calculated density   8414 kg/m3
data_P2Ir
_symmetry_space_group_name_H-M 'C 1 2/m 1'
_symmetry_Int_Tables_number 12
_cell_length_a 10.9862
_cell_length_b 3.7460
_cell_length_c 4.8774
_cell_angle_alpha 90.00
_cell_angle_beta 91.62
_cell_angle_gamma 90.00
loop_
_symmetry_equiv_pos_as_xyz
'x,y,z'
'-x,-y,-z'
'-x,y,-z'
'x,-y,z'
'x+1/2,y+1/2,z'
'-x+1/2,-y+1/2,-z'
'-x+1/2,y+1/2,-z'
'x+1/2,-y+1/2,z'
loop_
_atom_site_label
_atom_site_type_symbol
_atom_site_fract_x
_atom_site_fract_y
_atom_site_fract_z
P1 P 0.0939 0.0000 0.4275
P2 P 0.1652 0.0000 0.8549
Ir1 Ir 0.1220 0.5000 0.1388


No. 16
# P2Ir PBE optimized geometry
# Energy relative to the elements   111 kJ/mol of formula units
# M_tot   0.000 μB/cell
# E_tot   -6.18 eV per atom
# Calculated density   9828 kg/m3
data_P2Ir
_symmetry_space_group_name_H-M 'I m m m'
_symmetry_Int_Tables_number 71
_symmetry_space_group_name_Hall '-I 2 2'
_cell_length_a 2.9173
_cell_length_b 4.0352
_cell_length_c 7.2960
_cell_angle_alpha 90.00
_cell_angle_beta 90.00
_cell_angle_gamma 90.00
loop_
_atom_site_label
_atom_site_type_symbol
_atom_site_fract_x
_atom_site_fract_y
_atom_site_fract_z
P1 P 0.0000 0.0000 0.1570
Ir1 Ir 0.0000 0.0000 0.5000


No. 17
# PIr PBE optimized geometry
# Energy relative to the elements   -66 kJ/mol of formula units
# M_tot   0.000 μB/cell
# E_tot   -7.48 eV per atom
# Calculated density   12201 kg/m3
data_PIr
_symmetry_space_group_name_H-M 'I m m 2'
_symmetry_Int_Tables_number 44
_cell_length_a 2.8157
_cell_length_b 10.8028
_cell_length_c 5.9917
_cell_angle_alpha 90.00
_cell_angle_beta 90.00
_cell_angle_gamma 90.00
loop_
_symmetry_equiv_pos_as_xyz
'x,y,z'
'-x,-y,z'
'-x,y,z'
'x,-y,z'
'x+1/2,y+1/2,z+1/2'
'-x+1/2,-y+1/2,z+1/2'
'-x+1/2,y+1/2,z+1/2'
'x+1/2,-y+1/2,z+1/2'
loop_
_atom_site_label
_atom_site_type_symbol
_atom_site_fract_x
_atom_site_fract_y
_atom_site_fract_z
P1 P 0.0000 0.0000 0.0000
P2 P 0.0000 0.1781 0.5475
Ir1 Ir 0.0000 0.3637 0.7317
Ir2 Ir 0.0000 0.5000 0.1574


No. 18
# P3Ir PBE optimized geometry
# Energy relative to the elements   -34 kJ/mol of formula units
# M_tot   0.000 μB/cell
# ΔE to the lowest computed polymorph   557 meV per atom
# E_tot   -6.36 eV per atom
# Calculated density   6493 kg/m3
data_P3Ir
_symmetry_space_group_name_H-M 'C 1 m 1'
_symmetry_Int_Tables_number 8
_cell_length_a 7.0134
_cell_length_b 3.2985
_cell_length_c 6.6004
_cell_angle_alpha 90.00
_cell_angle_beta 107.23
_cell_angle_gamma 90.00
loop_
_symmetry_equiv_pos_as_xyz
'x,y,z'
'x,-y,z'
'x+1/2,y+1/2,z'
'x+1/2,-y+1/2,z'
loop_
_atom_site_label
_atom_site_type_symbol
_atom_site_fract_x
_atom_site_fract_y
_atom_site_fract_z
P1 P 0.0000 0.0000 0.0000
P2 P 0.0373 0.5000 0.5112
P3 P 0.1396 0.0000 0.3492
Ir1 Ir 0.1569 0.5000 0.8730


No. 19
# PIr PBE optimized geometry
# Energy relative to the elements   -49 kJ/mol of formula units
# M_tot   0.000 μB/cell
# E_tot   -7.39 eV per atom
# Calculated density   13185 kg/m3
data_PIr
_symmetry_space_group_name_H-M 'P m m n'
_symmetry_Int_Tables_number 59
_cell_length_a 3.3816
_cell_length_b 3.3953
_cell_length_c 4.8963
_cell_angle_alpha 90.00
_cell_angle_beta 90.00
_cell_angle_gamma 90.00
loop_
_symmetry_equiv_pos_as_xyz
'x,y,z'
'-x,-y,-z'
'-x+1/2,-y+1/2,z'
'x+1/2,y+1/2,-z'
'x+1/2,-y,-z'
'-x+1/2,y,z'
'-x,y+1/2,-z'
'x,-y+1/2,z'
loop_
_atom_site_label
_atom_site_type_symbol
_atom_site_fract_x
_atom_site_fract_y
_atom_site_fract_z
P1 P 0.2500 0.2500 0.1831
Ir1 Ir 0.2500 0.2500 0.6876


No. 20
# P3Ir PBE optimized geometry
# Energy relative to the elements   -48 kJ/mol of formula units
# M_tot   0.000 μB/cell
# ΔE to the lowest computed polymorph   520 meV per atom
# E_tot   -6.40 eV per atom
# Calculated density   7120 kg/m3
data_P3Ir
_symmetry_space_group_name_H-M 'P 1'
_symmetry_Int_Tables_number 1
_cell_length_a 3.3249
_cell_length_b 3.7893
_cell_length_c 5.9135
_cell_angle_alpha 78.63
_cell_angle_beta 88.87
_cell_angle_gamma 65.87
loop_
_symmetry_equiv_pos_as_xyz
'x,y,z'
loop_
_atom_site_label
_atom_site_type_symbol
_atom_site_fract_x
_atom_site_fract_y
_atom_site_fract_z
P1 P 0.0000 0.0000 0.0000
P2 P 0.1357 0.7816 0.6741
P3 P 0.5236 0.0340 0.4303
Ir1 Ir 0.6898 0.5843 0.1826